This record from Alexandria via LeMat-Bulk describes LaHgRu2 after structural relaxation. The functional is PBE.

Summary:
space group: No. 166
energy of formation: 511.4 meV/atom

a b c (Å): 8.2355 8.2355 8.2355
angles (deg): 23.74 23.74 23.74
Last column: nearest neighbours and their distance in Å.
Atoms (fractional coordinates):
Hg (0.7500, 0.7500, 0.7500)  6 Ru 2.84
La (0.2500, 0.2500, 0.2500)  6 Ru 2.76
Ru (0.9977, 0.9977, 0.9977)  3 La 2.76, 3 Hg 2.84
Ru (0.5023, 0.5023, 0.5023)  3 La 2.76, 3 Hg 2.84

***

This record from Alexandria via LeMat-Bulk describes La3HgRu after structural relaxation. The functional is PBE.

Summary:
space group: No. 62
energy of formation: -201.6 meV/atom
distance to the lowest polymorph of the same formula: 179.4 meV per atom

a b c (Å): 7.7564 9.6014 8.3729
angles (deg): 90.00 90.00 90.00
Last column: nearest neighbours and their distance in Å.
Atoms (fractional coordinates):
Ru (0.5894, 0.2500, 0.5027)  4 La 2.78-2.89
Ru (0.9106, 0.7500, 0.0027)  4 La 2.78-2.89
Ru (0.4106, 0.7500, 0.4973)  4 La 2.78-2.89
Ru (0.0894, 0.2500, 0.9973)  4 La 2.78-2.89
Hg (0.0000, 0.0000, 0.5000)  6 La 3.14-3.32
Hg (0.5000, 0.5000, 0.0000)  6 La 3.14-3.32
Hg (0.5000, 0.0000, 0.0000)  6 La 3.14-3.32
Hg (0.0000, 0.5000, 0.5000)  6 La 3.14-3.32
La (0.1327, 0.9309, 0.8457)  1 Ru 2.78
La (0.3673, 0.4309, 0.3457)  1 Ru 2.78
La (0.3673, 0.0691, 0.3457)  1 Ru 2.78
La (0.8673, 0.4309, 0.1543)  1 Ru 2.78
La (0.8673, 0.0691, 0.1543)  1 Ru 2.78
La (0.6327, 0.5691, 0.6543)  1 Ru 2.78
La (0.6327, 0.9309, 0.6543)  1 Ru 2.78
La (0.1327, 0.5691, 0.8457)  1 Ru 2.78
La (0.3484, 0.2500, 0.7652)  2 Ru 2.80-2.89
La (0.1516, 0.7500, 0.2652)  2 Ru 2.80-2.89
La (0.6516, 0.7500, 0.2348)  2 Ru 2.80-2.89
La (0.8484, 0.2500, 0.7348)  2 Ru 2.80-2.89

***

This record from Alexandria via LeMat-Bulk describes La3HgRu after structural relaxation. The functional is PBE.

Summary:
space group: No. 160
energy of formation: 268.4 meV/atom
distance to the lowest polymorph of the same formula: 649.4 meV per atom

a b c (Å): 6.1046 6.1046 6.1046
angles (deg): 85.80 85.80 85.80
Last column: nearest neighbours and their distance in Å.
Atoms (fractional coordinates):
Ru (0.9267, 0.9267, 0.9267)  3 La 2.61
Hg (0.5807, 0.5807, 0.5807)  6 La 3.05-3.16
La (0.6437, 0.0802, 0.6437)  1 Ru 2.61
La (0.0802, 0.6437, 0.6437)  1 Ru 2.61
La (0.6437, 0.6437, 0.0802)  1 Ru 2.61

***

This record from Alexandria via LeMat-Bulk describes LaHgRu2 after structural relaxation. The functional is PBE.

Summary:
space group: No. 216
energy of formation: 408.7 meV/atom

a b c (Å): 4.8688 4.8688 4.8688
angles (deg): 60.00 60.00 60.00
Last column: nearest neighbours and their distance in Å.
Atoms (fractional coordinates):
Hg (0.5000, 0.5000, 0.5000)  4 La 2.98, 4 Ru 2.98
La (0.7500, 0.7500, 0.7500)  4 Ru 2.98, 4 Hg 2.98
Ru (0.0000, 0.0000, 0.0000)  4 La 2.98, 4 Ru 2.98
Ru (0.2500, 0.2500, 0.2500)  4 Hg 2.98, 4 Ru 2.98

***

This record from Alexandria via LeMat-Bulk describes La3HgRu after structural relaxation. The functional is PBE.

Summary:
space group: No. 99
energy of formation: 123.5 meV/atom
distance to the lowest polymorph of the same formula: 504.5 meV per atom

a b c (Å): 4.7267 4.7267 8.3406
angles (deg): 90.00 90.00 90.00
Last column: nearest neighbours and their distance in Å.
Atoms (fractional coordinates):
Ru (0.5000, 0.5000, 0.7920)  4 La 2.84
Hg (0.0000, 0.0000, 0.3242)  5 La 3.18-3.31
La (0.0000, 0.0000, 0.9432)  1 Hg 3.18
La (0.5000, 0.0000, 0.6022)  2 Ru 2.84
La (0.0000, 0.5000, 0.6022)  2 Ru 2.84

***

This record from Alexandria via LeMat-Bulk describes LaHgRu2 after structural relaxation. The functional is PBE.

Summary:
space group: No. 44
energy of formation: 204.3 meV/atom

a b c (Å): 5.9699 5.9699 5.9699
angles (deg): 148.89 132.97 57.47
Last column: nearest neighbours and their distance in Å.
Atoms (fractional coordinates):
Hg (0.5235, 0.5235, 0.0000)  6 Ru 2.93-3.00, 2 Hg 3.20
La (0.2413, 0.7413, 0.5000)  4 Ru 2.88, 2 La 3.20
Ru (0.9693, 0.9693, 0.0000)  2 Ru 2.66, 4 Hg 2.93
Ru (0.7659, 0.2659, 0.5000)  2 Ru 2.66, 4 La 2.88

***

This record from Alexandria via LeMat-Bulk describes La3HgRu after structural relaxation. The functional is PBE.

Summary:
space group: No. 11
energy of formation: -352.3 meV/atom
distance to the lowest polymorph of the same formula: 28.7 meV per atom

a b c (Å): 7.8031 6.2163 6.0579
angles (deg): 89.99 90.00 90.36
Last column: nearest neighbours and their distance in Å.
Atoms (fractional coordinates):
Ru (0.7390, 0.3463, 0.2964)  6 La 2.70-2.91
Ru (0.7390, 0.3463, 0.7964)  6 La 2.70-2.91
Hg (0.2383, 0.0255, 0.0464)  9 La 3.50-3.89, 2 Hg 3.76
Hg (0.2397, 0.6672, 0.5463)  9 La 3.50-3.89, 2 Hg 3.76
La (0.4531, 0.1688, 0.5464)  2 Ru 2.91
La (0.4546, 0.5214, 0.0463)  2 Ru 2.90
La (0.0250, 0.5239, 0.0463)  2 Ru 2.91
La (0.7353, 0.9864, 0.0464)  2 Ru 2.70
La (0.7427, 0.7063, 0.5463)  2 Ru 2.70
La (0.0235, 0.1713, 0.5464)  2 Ru 2.90

***

This record from Alexandria via LeMat-Bulk describes La3HgRu after structural relaxation. The functional is PBE.

Summary:
space group: No. 14
energy of formation: -295.8 meV/atom
distance to the lowest polymorph of the same formula: 85.3 meV per atom

a b c (Å): 25.5647 7.0876 8.8424
angles (deg): 90.00 157.66 90.00
Last column: nearest neighbours and their distance in Å.
Atoms (fractional coordinates):
Ru (0.4718, 0.7441, 0.5430)  4 La 2.62-2.93
Ru (0.5282, 0.2559, 0.4570)  4 La 2.62-2.93
Ru (0.0282, 0.2441, 0.9570)  4 La 2.62-2.93
Ru (0.9718, 0.7559, 0.0430)  4 La 2.62-2.93
Hg (0.1878, 0.9671, 0.8293)  2 Ru 3.17-3.21, 7 La 3.19-3.34
Hg (0.8122, 0.0329, 0.1707)  2 Ru 3.17-3.21, 7 La 3.19-3.34
Hg (0.3122, 0.4671, 0.6707)  2 Ru 3.17-3.21, 7 La 3.19-3.34
Hg (0.6878, 0.5329, 0.3293)  2 Ru 3.17-3.21, 7 La 3.19-3.34
La (0.2811, 0.0590, 0.7364)  2 Ru 2.83-2.93
La (0.7189, 0.9410, 0.2636)  2 Ru 2.83-2.93
La (0.2189, 0.5590, 0.7636)  2 Ru 2.83-2.93
La (0.7811, 0.4410, 0.2364)  2 Ru 2.83-2.93
La (0.4538, 0.2581, 0.5526)  1 Ru 2.70
La (0.5462, 0.7419, 0.4474)  1 Ru 2.70
La (0.0462, 0.7581, 0.9474)  1 Ru 2.70
La (0.9538, 0.2419, 0.0526)  1 Ru 2.70
La (0.3948, 0.7619, 0.6210)  1 Ru 2.62
La (0.6052, 0.2381, 0.3790)  1 Ru 2.62
La (0.1052, 0.2619, 0.8790)  1 Ru 2.62
La (0.8948, 0.7381, 0.1210)  1 Ru 2.62